# 1
Entry from Alexandria: a crystal of Fe2SbAu relaxed with PBEsol (SCAN).

Computed properties:
raw formation energy	196	meV/atom

```
4
Lattice="3.064 0.000 0.000 0.000 4.431 -0.016 -1.532 -1.404 4.517" Properties=species:S:1:pos:R:3 pbc="T T T"
Au 0.000 2.774 2.417
Fe 0.000 4.323 0.198
Fe 1.532 0.485 2.008
Sb 0.000 0.688 4.371
```



# 2
Entry from Alexandria: a crystal of Cd2Ge7O16 relaxed with PBEsol (SCAN).

Computed properties:
raw formation energy	-1717	meV/atom

```
50
Lattice="-3.323 -0.521 -3.244 7.892 -2.363 -7.705 -0.781 -10.958 2.561" Properties=species:S:1:pos:R:3 pbc="T T T"
Cd 6.078 -9.252 -4.741
Cd 1.998 -9.954 -0.448
Cd 5.112 -3.367 -4.697
Cd 1.032 -4.069 -0.404
Ge 2.248 -9.133 -4.274
Ge 1.468 -4.720 -4.184
Ge 0.403 -7.218 -2.547
Ge 3.456 -6.613 -5.772
Ge 5.513 -4.515 -8.361
Ge 4.064 -12.391 -5.467
Ge -0.205 -1.440 -2.852
Ge -1.797 -9.338 -0.097
Ge 4.335 -10.979 -2.678
Ge 0.569 -7.277 0.586
Ge 6.541 -6.044 -5.731
Ge 2.775 -2.342 -2.467
Ge 2.284 -1.442 -5.475
Ge -2.052 -5.739 -0.341
O 3.496 -7.886 -4.545
O 1.413 -5.780 -2.749
O 0.702 -8.370 -3.876
O 1.964 -5.648 -5.606
O 5.646 -2.934 -7.543
O 4.474 -11.995 -7.158
O -1.808 -2.023 -2.324
O -0.737 -10.732 0.249
O 2.187 -10.021 -5.818
O -0.198 -4.103 -4.325
O 0.822 -8.138 -1.079
O 4.764 -5.422 -5.554
O 3.776 -4.901 -8.268
O 4.649 -10.983 -4.543
O 0.936 -2.577 -2.090
O -1.786 -9.223 -1.875
O 2.800 -9.934 -2.802
O 2.801 -3.624 -3.817
O 4.924 -9.542 -8.542
O 1.381 -11.988 -1.190
O 4.050 -1.597 -5.594
O -2.780 -4.558 -1.450
O 5.717 -7.692 -6.323
O -0.286 -5.893 -0.462
O 1.370 -2.882 -5.971
O 0.775 -11.218 -4.021
O -1.096 -8.053 0.888
O -0.365 -1.374 -4.607
O 2.340 -12.752 -5.551
O 6.697 -5.505 -7.506
O 3.234 -7.424 -7.322
O -1.259 -6.702 -2.836
```



# 3
Entry from Alexandria: a crystal of MoAsPbCl2 relaxed with PBEsol (SCAN).

Computed properties:
raw formation energy	458	meV/atom

```
5
Lattice="4.951 0.000 0.000 0.000 4.951 0.000 0.000 0.000 5.104" Properties=species:S:1:pos:R:3 pbc="T T T"
Pb 2.475 2.475 2.552
Mo 0.000 0.000 2.552
As 0.000 0.000 0.000
Cl 0.000 2.475 0.000
Cl 2.475 0.000 0.000
```



# 4
Entry from Alexandria: a crystal of Ba2SrIr relaxed with PBEsol (SCAN).

Computed properties:
formation enthalpy at 0 K	-121	meV per atom

```
4
Lattice="4.395 0.000 0.000 0.000 6.201 0.000 0.000 -3.101 6.690" Properties=species:S:1:pos:R:3 pbc="T T T"
Sr 2.198 3.101 1.945
Ir 0.000 3.101 0.022
Ba 0.000 0.000 0.096
Ba 2.198 0.000 4.710
```



# 5
Entry from Alexandria: a crystal of CrMo2Ir relaxed with PBEsol (SCAN).

Computed properties:
formation enthalpy at 0 K	10	meV per atom

```
4
Lattice="2.651 0.007 0.000 -0.336 2.629 0.000 0.000 0.000 8.126" Properties=species:S:1:pos:R:3 pbc="T T T"
Cr 0.000 0.000 3.924
Ir 1.157 1.318 2.190
Mo 0.000 0.000 0.106
Mo 1.157 1.318 5.970
```



# 6
Entry from Alexandria: a crystal of Na2MgCdSb relaxed with PBEsol (SCAN).

Computed properties:
raw formation energy	248	meV/atom

```
5
Lattice="-4.513 0.622 2.884 0.166 -5.466 1.438 3.089 1.292 4.556" Properties=species:S:1:pos:R:3 pbc="T T T"
Sb -2.257 0.311 1.442
Mg -0.629 -1.776 4.439
Na 1.545 0.646 2.278
Na 0.083 -2.733 0.719
Cd 0.000 0.000 0.000
```



# 7
Entry from Alexandria: a crystal of YPb5 relaxed with PBEsol (SCAN).

Computed properties:
formation enthalpy at 0 K	-187	meV per atom

```
6
Lattice="-2.629 -2.423 -0.283 2.429 -0.667 5.867 -5.538 5.954 0.479" Properties=species:S:1:pos:R:3 pbc="T T T"
Pb -5.723 2.856 5.992
Pb -2.902 2.674 4.069
Pb -2.707 0.062 1.895
Pb -5.166 2.776 1.509
Pb -2.509 -0.544 5.239
Y 0.301 -0.705 3.239
```



# 8
Entry from Alexandria: a crystal of ZrCdW2I relaxed with PBEsol (SCAN).

Computed properties:
raw formation energy	2419	meV/atom

```
5
Lattice="-0.466 4.753 0.711 -1.859 0.481 -4.430 -4.775 -0.755 1.922" Properties=species:S:1:pos:R:3 pbc="T T T"
I 0.000 0.000 0.000
Zr -3.550 2.239 -0.898
W -0.930 0.240 -2.215
W -0.233 2.376 0.355
Cd -2.387 -0.378 0.961
```



# 9
Entry from Alexandria: a crystal of Mn2CdCl relaxed with PBEsol (SCAN).

Computed properties:
raw formation energy	-265	meV/atom

```
4
Lattice="-2.400 -1.026 -1.375 1.700 -1.104 -2.143 0.606 -6.656 3.911" Properties=species:S:1:pos:R:3 pbc="T T T"
Cl 0.151 -6.568 1.475
Mn 0.014 -0.157 0.092
Mn -0.224 -2.445 -0.948
Cd 0.268 -2.944 1.730
```



# 10
Entry from Alexandria: a crystal of AlAs2PtSe relaxed with PBEsol (SCAN).

Computed properties:
raw formation energy	804	meV/atom

```
5
Lattice="4.657 0.000 0.000 0.000 4.673 0.000 0.000 0.000 4.673" Properties=species:S:1:pos:R:3 pbc="T T T"
As 0.000 0.000 2.337
As 0.000 2.337 0.000
Se 2.329 0.000 0.000
Pt 2.329 2.337 2.337
Al 0.000 0.000 0.000
```



# 11
Entry from Alexandria: a crystal of KLiMo relaxed with PBEsol (SCAN).

Computed properties:
formation enthalpy at 0 K	1582	meV per atom

```
3
Lattice="5.420 0.000 0.000 2.710 4.694 0.000 2.710 1.565 4.425" Properties=species:S:1:pos:R:3 pbc="T T T"
Mo 2.710 1.565 1.106
K 0.000 0.000 0.000
Li 5.420 3.129 2.213
```



# 12
Entry from Alexandria: a crystal of BaAsH relaxed with PBEsol (SCAN).

```
3
Lattice="-3.990 -2.068 0.731 -0.039 -4.405 -1.147 0.012 -2.839 3.559" Properties=species:S:1:pos:R:3 pbc="T T T"
H -2.709 -6.281 2.119
As -2.114 -4.901 1.654
Ba -0.094 -0.218 0.074
```



It is found that the total energy values, taken in the order of the records, are -35.473, -13.483, -28.904, -43.240, -39.804, -15.968, -67.978, -45.027, -18.991, -26.877, -13.619, -21.921 eV/atom.